Pd2PtRh2: optimized geometry, GGA-PBE.

Cell: 7.4070 7.4070 2.8609 Å, 90.00 90.00 90.00°
Last column: nearest neighbours and their distance in Å.
Element x y z (fractional)
Pd: 0.1744 0.3256 0.0000  6 Rh 2.56-2.66, 2 Pd 2.86
Pd: 0.3256 0.8256 0.0000  6 Rh 2.56-2.66, 2 Pd 2.86
Pd: 0.6744 0.1744 0.0000  6 Rh 2.56-2.66, 2 Pd 2.86
Pd: 0.8256 0.6744 0.0000  6 Rh 2.56-2.66, 2 Pd 2.86
Pt: 0.0000 0.0000 0.5000  2 Pt 2.86, 4 Rh 2.94, 8 Pd 3.09
Pt: 0.5000 0.5000 0.5000  2 Pt 2.86, 4 Rh 2.94, 8 Pd 3.09
Rh: 0.1233 0.6233 0.5000  6 Pd 2.56-2.66, 3 Rh 2.58-2.86
Rh: 0.3767 0.1233 0.5000  6 Pd 2.56-2.66, 3 Rh 2.58-2.86
Rh: 0.6233 0.8767 0.5000  6 Pd 2.56-2.66, 3 Rh 2.58-2.86
Rh: 0.8767 0.3767 0.5000  6 Pd 2.56-2.66, 3 Rh 2.58-2.86

Calculated values
Energy above the lowest structure with this stoichiometry in eV per formula unit: 1.749
Formation energy in meV/atom: 344
Space-group type: No. 127
VASP energy in eV/atom: -5.882